4
Lattice="2.9153 0.0000 0.0000 1.3371 2.7714 0.0000 1.2281 0.7244 7.2394" Properties=species:S:1:pos:R:3 comment="FeF | Alexandria | PBE with a Hubbard U | optimized geometry" mass_density_g_cm3=4.25 energy_ev_per_cell=-20.34 polymorph_energy_ev_per_atom=0.0041 pbc="T T T"
Fe 0.8378 0.6211 1.1353
Fe 4.6427 2.8746 6.1040
F 1.8947 1.1801 4.9789
F 3.5859 2.3156 2.2605